Record 1
A geometry-optimized ReIr5 structure. Source: Alexandria via LeMat-Bulk, functional PBEsol.

Cell and atoms, written as POSCAR:
```
ReIr5
1.0
4.987 -1.365 0.000
4.987 1.365 0.000
-1.590 0.000 6.236
Re Ir
1 5
direct
0.000 0.000 0.000
0.279 0.279 0.053
0.336 0.336 0.670
0.609 0.609 0.723
0.663 0.663 0.326
0.945 0.945 0.388
```

Properties
As for the energy: -10.479 eV per atom. As for the excess energy over the best structure of this formula in the dataset: 33.9 meV per atom. As for the spin magnetization: 0.000 μB/atom. As for the space group: No. 8.

Record 2
A geometry-optimized Re3Ir2 structure. Source: Alexandria via LeMat-Bulk, functional PBEsol.

Cell and atoms, written as POSCAR:
```
Re3Ir2
1.0
4.155 0.000 0.000
-2.078 3.598 0.000
0.000 0.000 5.472
Re Ir
3 2
direct
0.000 0.000 0.000
0.333 0.667 0.403
0.667 0.333 0.597
0.333 0.667 0.867
0.667 0.333 0.133
```

Properties
As for the energy: -11.221 eV per atom. As for the spin magnetization: 0.000 μB/atom. As for the space group: No. 164.

Record 3
A geometry-optimized ReIr2 structure. Source: Alexandria via LeMat-Bulk, functional PBEsol.

Cell and atoms, written as POSCAR:
```
ReIr2
1.0
-1.352 1.926 4.078
1.352 -1.926 4.078
1.352 1.926 -4.078
Re Ir
1 2
direct
0.000 0.000 0.000
0.335 0.335 0.000
0.665 0.665 0.000
```

Properties
As for the energy: -11.154 eV per atom. As for the excess energy over the best structure of this formula in the dataset: 76.2 meV per atom. As for the spin magnetization: 0.000 μB/atom. As for the space group: No. 71.

Record 4
A geometry-optimized ReIr structure. Source: Alexandria via LeMat-Bulk, functional PBEsol.

Cell and atoms, written as POSCAR:
```
ReIr
1.0
3.265 0.000 0.000
0.000 3.265 0.000
0.000 0.000 5.498
Re Ir
2 2
direct
0.250 0.250 0.133
0.750 0.750 0.867
0.250 0.250 0.617
0.750 0.750 0.383
```

Properties
As for the energy: -11.286 eV per atom. As for the excess energy over the best structure of this formula in the dataset: 584.2 meV per atom. As for the spin magnetization: 0.000 μB/atom. As for the space group: No. 129.

Record 5
A geometry-optimized ReIr2 structure. Source: Alexandria via LeMat-Bulk, functional PBEsol.

Cell and atoms, written as POSCAR:
```
ReIr2
1.0
-1.926 1.926 11.455
1.926 -1.926 11.455
1.926 1.926 -11.455
Re Ir
4 8
direct
0.289 0.539 0.750
0.461 0.711 0.750
0.539 0.289 0.250
0.711 0.461 0.250
0.041 0.791 0.250
0.123 0.373 0.750
0.209 0.959 0.250
0.373 0.123 0.250
0.627 0.877 0.750
0.791 0.041 0.750
0.877 0.627 0.250
0.959 0.209 0.750
```

Properties
As for the energy: -11.142 eV per atom. As for the excess energy over the best structure of this formula in the dataset: 88.6 meV per atom. As for the spin magnetization: 0.000 μB/atom. As for the space group: No. 141.

Record 6
A geometry-optimized ReIr2 structure. Source: Alexandria via LeMat-Bulk, functional PBEsol.

Cell and atoms, written as POSCAR:
```
ReIr2
1.0
4.391 0.000 0.000
-2.195 3.802 0.000
0.000 0.000 2.641
Re Ir
1 2
direct
0.000 0.000 0.000
0.333 0.667 0.743
0.667 0.333 0.257
```

Properties
As for the energy: -10.563 eV per atom. As for the excess energy over the best structure of this formula in the dataset: 667.3 meV per atom. As for the spin magnetization: 0.000 μB/atom. As for the space group: No. 164.

> Which of these has the highest energy?

ReIr5

> Which formula does entry 1 have?

ReIr5